1.
{"formula": "Hf2Sc2Al", "functional": "PBE-GGA", "state": "optimized geometry", "delta_e_f_ev_per_atom": 0.138, "dos_at_fermi_per_ev_fu": 4.64, "lattice_angstrom": [[7.338, 0.000, 0.000], [0.000, 7.338, 0.000], [0.000, 0.000, 4.128]], "species": ["Hf", "Hf", "Hf", "Hf", "Sc", "Sc", "Sc", "Sc", "Al", "Al"], "frac_coords": [[0.148, 0.352, 0.000], [0.352, 0.852, 0.000], [0.648, 0.148, 0.000], [0.852, 0.648, 0.000], [0.147, 0.647, 0.500], [0.353, 0.147, 0.500], [0.647, 0.853, 0.500], [0.853, 0.353, 0.500], [0.000, 0.000, 0.500], [0.500, 0.500, 0.500]]}

***

2.
{"formula": "La3Pm4Y4", "functional": "PBE-GGA", "state": "optimized geometry", "delta_e_f_ev_per_atom": 0.136, "dos_at_fermi_per_ev_fu": 15.51, "lattice_angstrom": [[-1.823, 4.746, 11.252], [1.823, -4.746, 11.252], [1.823, 4.746, -11.252]], "species": ["La", "La", "La", "Pm", "Pm", "Pm", "Pm", "Y", "Y", "Y", "Y"], "frac_coords": [[0.000, 0.000, 0.000], [0.390, 0.890, 0.500], [0.610, 0.110, 0.500], [0.032, 0.354, 0.678], [0.324, 0.646, 0.678], [0.676, 0.354, 0.322], [0.968, 0.646, 0.322], [0.258, 0.258, 0.000], [0.318, 0.500, 0.818], [0.682, 0.500, 0.182], [0.742, 0.742, 0.000]]}

***

3.
{"formula": "Li2Hg5Sb2", "functional": "PBE-GGA", "state": "optimized geometry", "dos_at_fermi_per_ev_fu": 2.99, "formation_energy_uncorrected_kj_per_mol_fu": -104, "lattice_angstrom": [[7.351, 0.000, 0.000], [-0.109, 7.573, 0.000], [-3.016, -3.710, 8.177]], "species": ["Li", "Li", "Li", "Li", "Hg", "Hg", "Hg", "Hg", "Hg", "Hg", "Hg", "Hg", "Hg", "Hg", "Sb", "Sb", "Sb", "Sb"], "frac_coords": [[0.000, 0.000, 0.000], [0.027, 0.655, 0.483], [0.383, 0.464, 0.925], [0.743, 0.023, 0.465], [0.082, 0.432, 0.174], [0.320, 0.739, 0.799], [0.348, 0.849, 0.161], [0.380, 0.413, 0.485], [0.394, 0.041, 0.530], [0.623, 0.615, 0.291], [0.704, 0.213, 0.892], [0.732, 0.809, 0.653], [0.845, 0.239, 0.305], [0.976, 0.419, 0.674], [0.138, 0.065, 0.728], [0.402, 0.210, 0.087], [0.725, 0.617, 0.879], [0.954, 0.830, 0.231]]}

***

4.
{"formula": "Cs3La2TmTe6", "functional": "PBE-GGA", "state": "optimized geometry", "dos_at_fermi_per_ev_fu": 0.00, "formation_energy_uncorrected_kj_per_mol_fu": -1676, "lattice_angstrom": [[4.057, -7.028, 0.000], [4.057, 7.028, 0.000], [-2.708, 0.000, 8.923]], "species": ["Cs", "Cs", "Cs", "La", "La", "Tm", "Te", "Te", "Te", "Te", "Te", "Te"], "frac_coords": [[0.000, 0.000, 0.000], [0.330, 0.670, 0.000], [0.670, 0.330, 0.000], [0.166, 0.834, 0.500], [0.834, 0.166, 0.500], [0.500, 0.500, 0.500], [0.116, 0.436, 0.308], [0.245, 0.245, 0.694], [0.436, 0.116, 0.308], [0.564, 0.884, 0.692], [0.755, 0.755, 0.306], [0.884, 0.564, 0.692]]}

***

5.
{"formula": "CoPbAu", "functional": "PBE-GGA", "state": "optimized geometry", "delta_e_f_ev_per_atom": 0.308, "dos_at_fermi_per_ev_fu": 4.26, "lattice_angstrom": [[6.209, 0.000, 0.000], [0.000, 6.209, 0.000], [0.000, 0.000, 6.209]], "species": ["Co", "Co", "Co", "Co", "Pb", "Pb", "Pb", "Pb", "Au", "Au", "Au", "Au"], "frac_coords": [[0.000, 0.000, 0.000], [0.000, 0.500, 0.500], [0.500, 0.000, 0.500], [0.500, 0.500, 0.000], [0.250, 0.250, 0.750], [0.250, 0.750, 0.250], [0.750, 0.250, 0.250], [0.750, 0.750, 0.750], [0.250, 0.250, 0.250], [0.250, 0.750, 0.750], [0.750, 0.250, 0.750], [0.750, 0.750, 0.250]]}

***

6.
{"formula": "DyHoErTh", "functional": "PBE-GGA", "state": "optimized geometry", "delta_e_f_ev_per_atom": 0.004, "dos_at_fermi_per_ev_fu": 6.26, "lattice_angstrom": [[3.574, 0.000, 0.000], [-1.787, 3.095, 0.000], [0.000, 0.000, 34.072]], "species": ["Dy", "Dy", "Dy", "Ho", "Ho", "Ho", "Er", "Er", "Er", "Th", "Th", "Th"], "frac_coords": [[0.000, 0.000, 0.000], [0.333, 0.667, 0.667], [0.667, 0.333, 0.333], [0.000, 0.000, 0.249], [0.333, 0.667, 0.916], [0.667, 0.333, 0.583], [0.000, 0.000, 0.832], [0.333, 0.667, 0.499], [0.667, 0.333, 0.165], [0.000, 0.000, 0.416], [0.333, 0.667, 0.082], [0.667, 0.333, 0.749]]}

***

7.
{"formula": "Li6CuO4", "functional": "PBE-GGA", "state": "optimized geometry", "dos_at_fermi_per_ev_fu": 7.84, "formation_energy_uncorrected_kj_per_mol_fu": -1564, "lattice_angstrom": [[6.755, 0.000, 0.000], [-3.377, 5.850, 0.000], [0.000, 0.000, 5.166]], "species": ["Li", "Li", "Li", "Li", "Li", "Li", "Li", "Li", "Li", "Li", "Li", "Li", "Cu", "Cu", "O", "O", "O", "O", "O", "O", "O", "O"], "frac_coords": [[0.086, 0.543, 0.000], [0.137, 0.275, 0.643], [0.137, 0.863, 0.643], [0.275, 0.137, 0.143], [0.457, 0.543, 0.000], [0.457, 0.914, 0.000], [0.543, 0.086, 0.500], [0.543, 0.457, 0.500], [0.725, 0.863, 0.643], [0.863, 0.137, 0.143], [0.863, 0.725, 0.143], [0.914, 0.457, 0.500], [0.333, 0.667, 0.392], [0.667, 0.333, 0.892], [0.176, 0.351, 0.252], [0.176, 0.824, 0.252], [0.333, 0.667, 0.760], [0.351, 0.176, 0.752], [0.649, 0.824, 0.252], [0.667, 0.333, 0.260], [0.824, 0.176, 0.752], [0.824, 0.649, 0.752]]}

***

8.
{"formula": "PrTl2InTe4", "functional": "PBE-GGA", "state": "optimized geometry", "dos_at_fermi_per_ev_fu": 2.07, "formation_energy_uncorrected_kj_per_mol_fu": -492, "lattice_angstrom": [[-4.600, 4.642, 6.646], [4.600, -4.642, 6.646], [4.600, 4.642, -6.646]], "species": ["Pr", "Pr", "Tl", "Tl", "Tl", "Tl", "In", "In", "Te", "Te", "Te", "Te", "Te", "Te", "Te", "Te"], "frac_coords": [[0.000, 0.000, 0.000], [0.500, 0.000, 0.500], [0.000, 0.500, 0.500], [0.500, 0.000, 0.000], [0.500, 0.500, 0.000], [0.500, 0.500, 0.500], [0.000, 0.000, 0.500], [0.000, 0.500, 0.000], [0.216, 0.244, 0.973], [0.229, 0.756, 0.473], [0.238, 0.225, 0.487], [0.238, 0.751, 0.013], [0.762, 0.249, 0.987], [0.762, 0.775, 0.513], [0.771, 0.244, 0.527], [0.784, 0.756, 0.027]]}

***

9.
{"formula": "CdSn2RuRh", "functional": "PBE-GGA", "state": "optimized geometry", "delta_e_f_ev_per_atom": 0.639, "dos_at_fermi_per_ev_fu": 6.91, "lattice_angstrom": [[4.968, 0.000, 0.000], [0.000, 4.968, 0.000], [0.000, 0.000, 5.111]], "species": ["Cd", "Sn", "Sn", "Ru", "Rh"], "frac_coords": [[0.000, 0.000, 0.000], [0.000, 0.500, 0.500], [0.500, 0.000, 0.500], [0.000, 0.000, 0.500], [0.500, 0.500, 0.000]]}

***

10.
{"formula": "YPu2Cu9", "functional": "PBE-GGA", "state": "optimized geometry", "delta_e_f_ev_per_atom": -0.105, "dos_at_fermi_per_ev_fu": 19.56, "lattice_angstrom": [[2.564, 1.480, 8.385], [-2.564, 1.480, 8.385], [0.000, -2.960, 8.385]], "species": ["Y", "Pu", "Pu", "Cu", "Cu", "Cu", "Cu", "Cu", "Cu", "Cu", "Cu", "Cu"], "frac_coords": [[0.000, 0.000, 0.000], [0.147, 0.147, 0.147], [0.853, 0.853, 0.853], [0.084, 0.579, 0.579], [0.332, 0.332, 0.332], [0.421, 0.421, 0.916], [0.421, 0.916, 0.421], [0.500, 0.500, 0.500], [0.579, 0.084, 0.579], [0.579, 0.579, 0.084], [0.668, 0.668, 0.668], [0.916, 0.421, 0.421]]}

***

11.
{"formula": "ZrSc5In4", "functional": "PBE-GGA", "state": "optimized geometry", "delta_e_f_ev_per_atom": -0.361, "dos_at_fermi_per_ev_fu": 6.97, "lattice_angstrom": [[3.245, 0.000, 0.000], [0.000, 3.245, 0.000], [0.000, 0.000, 21.583]], "species": ["Zr", "Sc", "Sc", "Sc", "Sc", "Sc", "In", "In", "In", "In"], "frac_coords": [[0.000, 0.000, 0.000], [0.500, 0.500, 0.102], [0.500, 0.500, 0.301], [0.500, 0.500, 0.500], [0.500, 0.500, 0.699], [0.500, 0.500, 0.898], [0.000, 0.000, 0.203], [0.000, 0.000, 0.401], [0.000, 0.000, 0.599], [0.000, 0.000, 0.797]]}

***

12.
{"formula": "CaUB12", "functional": "PBE-GGA", "state": "optimized geometry", "delta_e_f_ev_per_atom": -0.335, "dos_at_fermi_per_ev_fu": 7.60, "lattice_angstrom": [[4.102, 0.000, 0.000], [0.000, 4.102, 0.000], [0.000, 0.000, 8.237]], "species": ["Ca", "U", "B", "B", "B", "B", "B", "B", "B", "B", "B", "B", "B", "B"], "frac_coords": [[0.000, 0.000, 0.000], [0.000, 0.000, 0.500], [0.199, 0.500, 0.252], [0.199, 0.500, 0.748], [0.500, 0.199, 0.252], [0.500, 0.199, 0.748], [0.500, 0.500, 0.101], [0.500, 0.500, 0.401], [0.500, 0.500, 0.599], [0.500, 0.500, 0.899], [0.500, 0.801, 0.252], [0.500, 0.801, 0.748], [0.801, 0.500, 0.252], [0.801, 0.500, 0.748]]}